A relaxed structure of SnICl3. Source: the Alexandria database, functional PBE.

abc: 6.970 7.659 8.977
angles: 92.59 90.10 90.00
Space group P1 (No. 1)
Inequivalent atoms, fractional coordinates:
1 Sn 0.000 0.000 0.000 (multiplicity 1)
2 Sn 0.500 0.401 0.474 (multiplicity 1)
3 I 0.053 0.325 0.913 (multiplicity 1)
4 I 0.553 0.076 0.560 (multiplicity 1)
5 Cl 0.124 0.797 0.824 (multiplicity 1)
6 Cl 0.151 0.952 0.226 (multiplicity 1)
7 Cl 0.177 0.468 0.442 (multiplicity 1)
8 Cl 0.621 0.604 0.652 (multiplicity 1)
9 Cl 0.654 0.451 0.249 (multiplicity 1)
10 Cl 0.677 0.932 0.028 (multiplicity 1)

Total DFT energy (no corrections) in eV per atom: -3.01
Spin magnetization in μB/cell: 0.00
Polymorph energy (0 for the lowest one) in eV per formula unit: 0.000
Density of states at the Fermi level in states/eV/cell: 0.0
Mass density in Mg/m³: 2.4